Arrangement 1

VASP calculation (PBE) on ZrZn3S after structural relaxation.

Values from the calculation:
As for the space-group type: Pm-3m.

abc: 5.2810 5.2810 5.2810
angles: 90.00 90.00 90.00
With the nearest neighbours (Å) after each atom.
Positions (direct):
Zr  0.0000  0.0000  0.0000  6 Zn 2.64
Zn  0.0000  0.0000  0.5000  2 Zr 2.64
Zn  0.0000  0.5000  0.0000  2 Zr 2.64
Zn  0.5000  0.0000  0.0000  2 Zr 2.64
S  0.5000  0.5000  0.5000  12 Zn 3.73



Arrangement 2

VASP calculation (PBE) on ZrZn3S after structural relaxation.

Values from the calculation:
As for the space-group type: Pm-3m.

abc: 4.6256 4.6256 4.6256
angles: 90.00 90.00 90.00
With the nearest neighbours (Å) after each atom.
Positions (direct):
Zr  0.0000  0.0000  0.0000  12 Zn 3.27
Zn  0.0000  0.5000  0.5000  2 S 2.31
Zn  0.5000  0.0000  0.5000  2 S 2.31
Zn  0.5000  0.5000  0.0000  2 S 2.31
S  0.5000  0.5000  0.5000  6 Zn 2.31



List of relative energies, unit kJ/mol of atoms: arrangement 1 54.6; arrangement 2 0.0



Arrangement 1

VASP calculation (PBE) on Zr3S4 after structural relaxation.

Values from the calculation:
As for the space-group type: Cmmm.

abc: 6.3144 6.3144 3.6644
angles: 90.00 90.00 107.98
With the nearest neighbours (Å) after each atom.
Positions (direct):
Zr  0.0000  0.0000  0.0000  6 S 2.63-2.68
Zr  0.0000  0.5000  0.5000  6 S 2.55-2.61
Zr  0.5000  0.0000  0.5000  6 S 2.55-2.61
S  0.2541  0.2541  0.5000  4 Zr 2.55-2.63
S  0.2619  0.7381  0.0000  5 Zr 2.61-2.68
S  0.7381  0.2619  0.0000  5 Zr 2.61-2.68
S  0.7459  0.7459  0.5000  4 Zr 2.55-2.63



Arrangement 2

VASP calculation (PBE) on Zr3S4 after structural relaxation.

Values from the calculation:
As for the space-group type: Fd-3m.

abc: 7.6241 7.6241 7.6241
angles: 60.00 60.00 60.00
With the nearest neighbours (Å) after each atom.
Positions (direct):
Zr  0.0000  0.0000  0.0000  6 S 2.63
Zr  0.0000  0.0000  0.5000  6 S 2.63
Zr  0.0000  0.5000  0.0000  6 S 2.63
Zr  0.3750  0.3750  0.3750  4 S 2.45
Zr  0.5000  0.0000  0.0000  6 S 2.63
Zr  0.6250  0.6250  0.6250  4 S 2.45
S  0.2318  0.7561  0.7561  4 Zr 2.45-2.63
S  0.2439  0.2439  0.2439  4 Zr 2.45-2.63
S  0.2439  0.2439  0.7682  4 Zr 2.45-2.63
S  0.2439  0.7682  0.2439  4 Zr 2.45-2.63
S  0.7561  0.2318  0.7561  4 Zr 2.45-2.63
S  0.7561  0.7561  0.2318  4 Zr 2.45-2.63
S  0.7561  0.7561  0.7561  4 Zr 2.45-2.63
S  0.7682  0.2439  0.2439  4 Zr 2.45-2.63



List of relative energies, unit kJ/mol of atoms: arrangement 1 0.0; arrangement 2 26.7



Arrangement 1

VASP calculation (PBE) on Zr3S2 after structural relaxation.

Values from the calculation:
As for the space-group type: R-3c.

abc: 6.9625 6.9625 6.9625
angles: 53.11 53.11 53.11
With the nearest neighbours (Å) after each atom.
Positions (direct):
Zr  0.0747  0.7500  0.4253  4 S 2.51-2.58
Zr  0.2500  0.5747  0.9253  4 S 2.51-2.58
Zr  0.4253  0.0747  0.7500  4 S 2.51-2.58
Zr  0.5747  0.9253  0.2500  4 S 2.51-2.58
Zr  0.7500  0.4253  0.0747  4 S 2.51-2.58
Zr  0.9253  0.2500  0.5747  4 S 2.51-2.58
S  0.1601  0.1601  0.1601  6 Zr 2.51-2.58
S  0.3399  0.3399  0.3399  6 Zr 2.51-2.58
S  0.6601  0.6601  0.6601  6 Zr 2.51-2.58
S  0.8399  0.8399  0.8399  6 Zr 2.51-2.58



Arrangement 2

VASP calculation (PBE) on Zr3S2 after structural relaxation.

Values from the calculation:
As for the space-group type: R32.

abc: 4.8398 4.8398 4.8398
angles: 73.54 73.54 73.54
With the nearest neighbours (Å) after each atom.
Positions (direct):
Zr  0.0000  0.3386  0.6614  4 S 2.61-2.62
Zr  0.3386  0.6614  0.0000  4 S 2.61-2.62
Zr  0.6614  0.0000  0.3386  4 S 2.61-2.62
S  0.1650  0.1650  0.1650  6 Zr 2.61-2.62
S  0.8350  0.8350  0.8350  6 Zr 2.61-2.62



List of relative energies, unit kJ/mol of atoms: arrangement 1 0.0; arrangement 2 9.2